# 1
{"formula": "Tb4DyTm4", "functional": "PBE", "state": "optimized geometry", "lattice": [[-5.284, 5.284, 2.483], [5.284, -5.284, 2.483], [5.284, 5.284, -2.483]], "species": ["Tb", "Tb", "Tb", "Tb", "Dy", "Tm", "Tm", "Tm", "Tm"], "fractional_positions": [[0.000, 0.332, 0.332], [0.000, 0.668, 0.668], [0.332, 0.000, 0.332], [0.668, 0.000, 0.668], [0.000, 0.000, 0.000], [0.334, 0.334, 0.667], [0.334, 0.666, 0.000], [0.666, 0.334, 0.000], [0.666, 0.666, 0.333]], "e_form_ev_per_atom": 0.022, "crystal_system": "tetragonal", "spacegroup": "I4/mmm, No. 139", "dos_ef_per_ev_cell": 12.79}


# 2
{"formula": "Tb3Dy2Tm2", "functional": "PBE", "state": "optimized geometry", "lattice": [[17.275, 0.000, 0.000], [0.000, 3.477, 0.000], [-4.099, 0.000, 7.369]], "species": ["Tb", "Tb", "Tb", "Tb", "Tb", "Tb", "Dy", "Dy", "Dy", "Dy", "Tm", "Tm", "Tm", "Tm"], "fractional_positions": [[0.000, 0.000, 0.000], [0.212, 0.000, 0.299], [0.288, 0.500, 0.701], [0.500, 0.500, 0.000], [0.712, 0.500, 0.299], [0.788, 0.000, 0.701], [0.065, 0.500, 0.410], [0.435, 0.000, 0.590], [0.565, 0.000, 0.410], [0.935, 0.500, 0.590], [0.147, 0.000, 0.826], [0.353, 0.500, 0.174], [0.647, 0.500, 0.826], [0.853, 0.000, 0.174]], "e_form_ev_per_atom": 0.116, "polymorph_energy_ev_per_atom": 0.098, "crystal_system": "monoclinic", "spacegroup": "C2/m, No. 12", "dos_ef_per_ev_cell": 21.73}


# 3
{"formula": "Tb12DyTm6", "functional": "PBE", "state": "optimized geometry", "lattice": [[5.910, 3.412, 5.021], [-5.910, 3.412, 5.021], [0.000, -6.824, 5.021]], "species": ["Tb", "Tb", "Tb", "Tb", "Tb", "Tb", "Tb", "Tb", "Tb", "Tb", "Tb", "Tb", "Dy", "Tm", "Tm", "Tm", "Tm", "Tm", "Tm"], "fractional_positions": [[0.012, 0.202, 0.359], [0.202, 0.359, 0.012], [0.223, 0.459, 0.566], [0.359, 0.012, 0.202], [0.434, 0.777, 0.541], [0.459, 0.566, 0.223], [0.541, 0.434, 0.777], [0.566, 0.223, 0.459], [0.641, 0.988, 0.798], [0.777, 0.541, 0.434], [0.798, 0.641, 0.988], [0.988, 0.798, 0.641], [0.000, 0.000, 0.000], [0.096, 0.695, 0.258], [0.258, 0.096, 0.695], [0.305, 0.742, 0.904], [0.695, 0.258, 0.096], [0.742, 0.904, 0.305], [0.904, 0.305, 0.742]], "e_form_ev_per_atom": 0.153, "polymorph_energy_ev_per_atom": 0.000, "crystal_system": "trigonal", "spacegroup": "R-3, No. 148", "dos_ef_per_ev_cell": 33.65}


# 4
{"formula": "Tb3Dy8Tm3", "functional": "PBE", "state": "optimized geometry", "lattice": [[-2.788, 5.349, 7.401], [2.788, -5.349, 7.401], [2.788, 5.349, -7.401]], "species": ["Tb", "Tb", "Tb", "Dy", "Dy", "Dy", "Dy", "Dy", "Dy", "Dy", "Dy", "Tm", "Tm", "Tm"], "fractional_positions": [[0.000, 0.000, 0.000], [0.181, 0.681, 0.500], [0.819, 0.319, 0.500], [0.119, 0.278, 0.841], [0.238, 0.897, 0.341], [0.437, 0.278, 0.159], [0.444, 0.103, 0.341], [0.556, 0.897, 0.659], [0.563, 0.722, 0.841], [0.762, 0.103, 0.659], [0.881, 0.722, 0.159], [0.203, 0.500, 0.703], [0.500, 0.500, 0.000], [0.797, 0.500, 0.297]], "e_form_ev_per_atom": 0.113, "polymorph_energy_ev_per_atom": 0.000, "crystal_system": "orthorhombic", "spacegroup": "Immm, No. 71", "dos_ef_per_ev_cell": 20.78}


# 5
{"formula": "Tb4Dy2Tm", "functional": "PBE", "state": "optimized geometry", "lattice": [[6.102, 0.000, 0.000], [0.000, 6.525, 0.000], [-2.879, 0.000, 11.085]], "species": ["Tb", "Tb", "Tb", "Tb", "Tb", "Tb", "Tb", "Tb", "Dy", "Dy", "Dy", "Dy", "Tm", "Tm"], "fractional_positions": [[0.035, 0.250, 0.363], [0.151, 0.250, 0.947], [0.347, 0.507, 0.213], [0.347, 0.993, 0.213], [0.653, 0.007, 0.787], [0.653, 0.493, 0.787], [0.849, 0.750, 0.053], [0.965, 0.750, 0.637], [0.286, 0.750, 0.923], [0.393, 0.750, 0.505], [0.607, 0.250, 0.495], [0.714, 0.250, 0.077], [0.152, 0.250, 0.663], [0.848, 0.750, 0.337]], "e_form_ev_per_atom": 0.136, "polymorph_energy_ev_per_atom": 0.132, "crystal_system": "monoclinic", "spacegroup": "P2_1/m, No. 11", "dos_ef_per_ev_cell": 23.32}


# 6
{"formula": "Tb4Dy2Tm5", "functional": "PBE", "state": "optimized geometry", "lattice": [[11.752, -1.724, 0.000], [11.752, 1.724, 0.000], [-1.065, 0.000, 8.524]], "species": ["Tb", "Tb", "Tb", "Tb", "Dy", "Dy", "Tm", "Tm", "Tm", "Tm", "Tm"], "fractional_positions": [[0.046, 0.046, 0.358], [0.322, 0.322, 0.528], [0.678, 0.678, 0.472], [0.954, 0.954, 0.642], [0.091, 0.091, 0.742], [0.909, 0.909, 0.258], [0.142, 0.142, 0.118], [0.232, 0.232, 0.827], [0.500, 0.500, 0.000], [0.768, 0.768, 0.173], [0.858, 0.858, 0.882]], "e_form_ev_per_atom": 0.156, "polymorph_energy_ev_per_atom": 0.099, "crystal_system": "monoclinic", "spacegroup": "C2/m, No. 12", "dos_ef_per_ev_cell": 18.95}


Q: Number 1 is which compound?
A: Tb4DyTm4